The following is a DFT calculation (GGA-PBE) of an optimized crystal structure of Li2PmAu2.

a b c (Å): 3.937 3.937 7.188
angles (deg): 105.89 105.89 90.00
Sites, in units of the cell vectors:
Li: 0.750 0.250 0.500
Li: 0.250 0.750 0.500
Pm: 0.000 0.000 0.000
Au: 0.610 0.610 0.220
Au: 0.390 0.390 0.780

Computed properties:
Formation energy from the elements ... -3.05 eV per formula unit
Crystal system ... tetragonal
E ... -3.6363 eV per atom
Volume ... 102.7 Å³/f.u.
N(E_F) ... 0.392 states/eV/atom

***

The following is a DFT calculation (GGA-PBE) of an optimized crystal structure of RbBa2NaSe.

a b c (Å): 6.419 6.419 6.866
angles (deg): 90.00 90.00 90.00
Sites, in units of the cell vectors:
Na: 0.500 0.500 0.500
Se: 0.000 0.000 0.000
Ba: 0.000 0.500 0.000
Ba: 0.500 0.000 0.000
Rb: 0.000 0.000 0.500

Computed properties:
Raw formation energy ... -0.660 eV per atom
Crystal system ... tetragonal
E ... -2.5836 eV per atom
Volume ... 282.9 Å³/f.u.
N(E_F) ... 0.829 states/eV/atom

***

The following is a DFT calculation (GGA-PBE) of an optimized crystal structure of ZnCo2Re.

a b c (Å): 6.543 6.543 5.296
angles (deg): 51.85 51.85 90.00
Sites, in units of the cell vectors:
Re: 0.000 0.000 0.000
Re: 0.750 0.250 0.500
Zn: 0.500 0.500 0.000
Zn: 0.250 0.750 0.500
Co: 0.643 0.125 0.250
Co: 0.107 0.625 0.250
Co: 0.375 0.357 0.750
Co: 0.875 0.893 0.750

Computed properties:
Formation energy from the elements ... 2.74 eV per formula unit
Crystal system ... tetragonal
E ... -6.2985 eV per atom
Volume ... 55.2 Å³/f.u.
N(E_F) ... 1.000 states/eV/atom

***

The following is a DFT calculation (GGA-PBE) of an optimized crystal structure of Cd2AsPtAu.

a b c (Å): 5.307 4.568 5.307
angles (deg): 90.00 90.00 90.00
Sites, in units of the cell vectors:
As: 0.000 0.500 0.000
Au: 0.500 0.500 0.500
Pt: 0.000 0.000 0.000
Cd: 0.000 0.000 0.500
Cd: 0.500 0.000 0.000

Computed properties:
Formation energy from the elements ... 0.84 eV per formula unit
Crystal system ... tetragonal
E ... -2.9906 eV per atom
Volume ... 128.7 Å³/f.u.
N(E_F) ... 0.234 states/eV/atom

***

The following is a DFT calculation (GGA-PBE) of an optimized crystal structure of NdGeBr5.

a b c (Å): 7.338 8.260 9.720
angles (deg): 85.07 78.85 63.63
Sites, in units of the cell vectors:
Nd: 0.535 0.931 0.750
Nd: 0.465 0.069 0.250
Ge: 0.000 0.000 0.000
Ge: 0.000 0.000 0.500
Br: 0.350 0.705 0.863
Br: 0.554 0.187 0.518
Br: 0.055 0.295 0.363
Br: 0.913 0.173 0.750
Br: 0.258 0.187 0.982
Br: 0.742 0.813 0.018
Br: 0.087 0.827 0.250
Br: 0.945 0.705 0.637
Br: 0.446 0.813 0.482
Br: 0.650 0.295 0.137

Computed properties:
Raw formation energy ... -1.245 eV per atom
Crystal system ... monoclinic
E ... -3.7806 eV per atom
Volume ... 259.0 Å³/f.u.
N(E_F) ... 0.000 states/eV/atom

***

The following is a DFT calculation (GGA-PBE) of an optimized crystal structure of TbY2Tm4Mg.

a b c (Å): 3.645 6.318 11.374
angles (deg): 100.06 80.78 73.24
Sites, in units of the cell vectors:
Tb: 0.500 0.500 0.500
Y: 0.750 0.726 0.774
Y: 0.250 0.274 0.226
Tm: 0.130 0.108 0.633
Tm: 0.391 0.327 0.891
Tm: 0.870 0.892 0.367
Tm: 0.609 0.673 0.109
Mg: 0.000 0.000 0.000

Computed properties:
Formation energy from the elements ... 0.12 eV per formula unit
Crystal system ... monoclinic
E ... -4.6150 eV per atom
Volume ... 240.7 Å³/f.u.
N(E_F) ... 1.306 states/eV/atom

***

The following is a DFT calculation (GGA-PBE) of an optimized crystal structure of As5C.

a b c (Å): 7.451 7.451 5.038
angles (deg): 90.00 90.00 154.62
Sites, in units of the cell vectors:
As: 0.774 0.226 0.500
As: 0.547 0.453 0.000
As: 0.487 0.513 0.500
As: 0.263 0.737 0.000
As: 0.134 0.866 0.500
C: 0.128 0.872 0.000

Computed properties:
Formation energy from the elements ... 3.68 eV per formula unit
Crystal system ... orthorhombic
E ... -4.7990 eV per atom
Volume ... 119.9 Å³/f.u.
N(E_F) ... 0.170 states/eV/atom
Excess energy over the best structure of this formula in the dataset ... 8.8 kJ/mol of atoms

***

The following is a DFT calculation (GGA-PBE) of an optimized crystal structure of Pm2MnGa4Cu3.

a b c (Å): 4.160 4.160 10.468
angles (deg): 90.00 90.00 90.00
Sites, in units of the cell vectors:
Pm: 0.500 0.000 0.249
Pm: 0.000 0.500 0.751
Mn: 0.500 0.500 0.500
Ga: 0.500 0.500 0.000
Ga: 0.000 0.000 0.000
Ga: 0.500 0.000 0.635
Ga: 0.000 0.500 0.365
Cu: 0.000 0.000 0.500
Cu: 0.500 0.000 0.868
Cu: 0.000 0.500 0.132

Computed properties:
Formation energy from the elements ... -3.91 eV per formula unit
Crystal system ... tetragonal
E ... -4.6979 eV per atom
Volume ... 181.1 Å³/f.u.
N(E_F) ... 0.594 states/eV/atom

***

> Which of these has the lowest N(E_F)?

NdGeBr5

***

> Number 7 is which compound?

As5C

***

> Which value of E does entry 4 give?

-2.9906 eV per atom